LaAl2Pb | meta-GGA SCAN | PBEsol geometry

Lattice parameters (Å, degrees): 8.1903 8.1903 6.3230 90.00 90.00 90.00
Closest atoms and distances in Å follow each position.
Space group I-42d (No. 122)
Inequivalent atoms, fractional coordinates:
1 La 0.0000 0.0000 0.0000  2 Pb 3.16, 4 Al 3.20
2 Al 0.2160 0.2500 0.6250  2 Pb 2.82
3 Pb 0.0000 0.0000 0.5000  4 Al 2.82

Summary:
The total moment is 0.0 μB/f.u. For the volume, the calculation gives 26.5 Å³/atom. The total energy is -539.4 eV per cell.